Record 1
Below is crystalline BaMg2Tc at its relaxed geometry, with properties calculated at the PBE-GGA level.

Unit cell a=3.376 b=3.376 c=8.808 alpha=90.00 beta=90.00 gamma=89.98
Positions (direct):
Ba (0.500, 0.500, 0.750)
Mg (0.000, 0.000, 0.077)
Mg (0.000, 0.000, 0.423)
Tc (0.500, 0.500, 0.250)

Values from the calculation:
Symmetry ... No. 123
Relative energy among the computed polymorphs ... 0.000 eV per formula unit

***

Record 2
Below is crystalline BaMg3Tc at its relaxed geometry, with properties calculated at the PBE-GGA level.

Unit cell a=5.220 b=5.220 c=5.220 alpha=90.00 beta=90.00 gamma=90.00
Positions (direct):
Mg (0.000, 0.000, 0.500)
Mg (0.500, 0.000, 0.000)
Mg (0.000, 0.500, 0.000)
Ba (0.500, 0.500, 0.500)
Tc (0.000, 0.000, 0.000)

Values from the calculation:
Symmetry ... No. 221
Relative energy among the computed polymorphs ... 0.000 eV per formula unit

***

Record 3
Below is crystalline BaMgTc2 at its relaxed geometry, with properties calculated at the PBE-GGA level.

Unit cell a=10.672 b=10.672 c=10.672 alpha=16.05 beta=16.05 gamma=16.05
Positions (direct):
Mg (0.750, 0.750, 0.750)
Ba (0.250, 0.250, 0.250)
Tc (0.011, 0.011, 0.011)
Tc (0.489, 0.489, 0.489)

Values from the calculation:
Symmetry ... No. 166

***

Record 4
Below is crystalline BaMg2Tc at its relaxed geometry, with properties calculated at the PBE-GGA level.

Unit cell a=6.467 b=6.467 c=5.444 alpha=65.90 beta=65.90 gamma=30.40
Positions (direct):
Ba (0.750, 0.750, 0.750)
Tc (0.250, 0.250, 0.250)
Mg (0.550, 0.550, 0.447)
Mg (0.950, 0.950, 0.053)

Values from the calculation:
Symmetry ... No. 12
Relative energy among the computed polymorphs ... 0.417 eV per formula unit

***

Record 5
Below is crystalline Ba2MgTc at its relaxed geometry, with properties calculated at the PBE-GGA level.

Unit cell a=9.521 b=9.521 c=4.285 alpha=76.94 beta=76.94 gamma=22.51
Positions (direct):
Tc (0.250, 0.250, 0.250)
Mg (0.750, 0.750, 0.750)
Ba (0.893, 0.893, 0.106)
Ba (0.607, 0.607, 0.394)

Values from the calculation:
Symmetry ... No. 12

***

Record 6
Below is crystalline BaMgTc2 at its relaxed geometry, with properties calculated at the PBE-GGA level.

Unit cell a=8.097 b=8.097 c=6.345 alpha=50.35 beta=50.35 gamma=90.00
Positions (direct):
Ba (0.000, 0.000, 0.000)
Ba (0.750, 0.250, 0.500)
Mg (0.250, 0.750, 0.500)
Mg (0.500, 0.500, 0.000)
Tc (0.375, 0.412, 0.750)
Tc (0.588, 0.125, 0.250)
Tc (0.162, 0.625, 0.250)
Tc (0.875, 0.838, 0.750)

Values from the calculation:
Symmetry ... No. 122

***

Record 7
Below is crystalline BaMg2Tc at its relaxed geometry, with properties calculated at the PBE-GGA level.

Unit cell a=10.981 b=10.981 c=10.981 alpha=16.73 beta=16.73 gamma=16.73
Positions (direct):
Tc (0.250, 0.250, 0.250)
Mg (0.982, 0.982, 0.982)
Mg (0.518, 0.518, 0.518)
Ba (0.750, 0.750, 0.750)

Values from the calculation:
Symmetry ... No. 166
Relative energy among the computed polymorphs ... 0.843 eV per formula unit

***

Record 8
Below is crystalline Ba2MgTc at its relaxed geometry, with properties calculated at the PBE-GGA level.

Unit cell a=3.746 b=3.748 c=9.535 alpha=90.00 beta=90.00 gamma=90.00
Positions (direct):
Ba (0.000, 0.000, 0.541)
Ba (0.000, 0.000, 0.959)
Mg (0.500, 0.500, 0.250)
Tc (0.500, 0.500, 0.750)

Values from the calculation:
Symmetry ... No. 123

***

| no. | magnetization (μB per formula unit) | ΔH_f (0 K) (eV/atom) |
| --- | --- | --- |
| 1 | 2.01 | 0.40 |
| 2 | 0.00 | 0.29 |
| 3 | 0.14 | 1.07 |
| 4 | 1.46 | 0.51 |
| 5 | 0.00 | 0.55 |
| 6 | 1.07 | 1.35 |
| 7 | 0.86 | 0.61 |
| 8 | 1.02 | 0.66 |